No. 1
Density functional theory data (GGA-PBE) for La2Nd15Tm2 after structural relaxation.

The calculated density is 6.687 g/cm3. The calculation puts the formation energy at 233 meV/atom.

The space group is R-3m (No. 166, hexagonal axes) and the conventional cell measures 11.5038, 11.5038 and 18.0659 Å, with angles of 90.00, 90.00 and 120.00 degrees. Symmetry generates all atoms from La at (0.0000, 0.0000, 0.1785), Nd at (0.0000, 0.2934, 0.5000), Nd at (0.0000, 0.5000, 0.0000), Nd at (0.0136, 0.5068, 0.6375) and Tm at (0.0000, 0.0000, 0.4061).

=====

No. 2
Density functional theory data (GGA-PBE) for Zr3GePb after structural relaxation.

The calculated density is 5.988 g/cm3. The calculation puts the formation energy at 1139 meV/atom. Its polymorph energy (0 for the lowest one) is 1.0547 eV/atom.

The space group is Pm-3m (No. 221) and the conventional cell measures 5.354, 5.354 and 5.354 Å, with angles of 90.00, 90.00 and 90.00 degrees. Symmetry generates all atoms from Zr at (0.000, 0.000, 0.500), Ge at (0.500, 0.500, 0.500) and Pb at (0.000, 0.000, 0.000).

=====

No. 3
Density functional theory data (GGA-PBE) for VReN2 after structural relaxation.

The calculation puts the raw formation energy at -0.191 eV per atom. The calculated density is 9.463 g/cm3. Its polymorph energy (0 for the lowest one) is 0.0000 eV/atom.

The space group is I-42d (No. 122) and the conventional cell measures 4.594, 4.594 and 8.818 Å, with angles of 90.00, 90.00 and 90.00 degrees. Symmetry generates all atoms from V at (0.000, 0.000, 0.000), Re at (0.000, 0.000, 0.500) and N at (0.235, 0.250, 0.125).

=====

No. 4
Density functional theory data (GGA-PBE) for RbSiAgRu2 after structural relaxation.

The calculation puts the raw formation energy at 2.796 eV per atom. The calculated density is 5.859 g/cm3.

The space group is P4/mmm (No. 123) and the conventional cell measures 4.781, 4.781 and 5.252 Å, with angles of 90.00, 90.00 and 90.00 degrees. Symmetry generates all atoms from Rb at (0.000, 0.000, 0.000), Si at (0.000, 0.000, 0.500), Ag at (0.500, 0.500, 0.500) and Ru at (0.000, 0.500, 0.000).

=====

No. 5
Density functional theory data (GGA-PBE) for Sm2LuSn after structural relaxation.

The calculated density is 8.695 g/cm3. The calculation puts the formation energy at -415 meV/atom. Its polymorph energy (0 for the lowest one) is 0.0000 eV/atom.

The space group is P4/mmm (No. 123) and the conventional cell measures 4.814, 4.814 and 4.898 Å, with angles of 90.00, 90.00 and 90.00 degrees. Symmetry generates all atoms from Sm at (0.000, 0.500, 0.000), Lu at (0.000, 0.000, 0.500) and Sn at (0.500, 0.500, 0.500).

=====

No. 6
Density functional theory data (GGA-PBE) for CsCaTe2 after structural relaxation.

The calculation puts the raw formation energy at -1.055 eV per atom. The calculated density is 4.184 g/cm3.

The space group is R3m (No. 160, hexagonal axes) and the conventional cell measures 4.6894, 4.6894 and 26.7667 Å, with angles of 90.00, 90.00 and 120.00 degrees. Symmetry generates all atoms from Cs at (0.0000, 0.0000, 0.0000), Ca at (0.0000, 0.0000, 0.1691), Te at (0.0000, 0.0000, 0.5648) and Te at (0.0000, 0.0000, 0.7718).

=====

| no. | total energy (eV/atom) |
| --- | --- |
| 1 | -4.52 |
| 2 | -5.66 |
| 3 | -9.75 |
| 4 | -2.76 |
| 5 | -4.91 |
| 6 | -3.34 |